VASP calculation (PBE) on a geometry-optimized VGaC3 structure.

abc: 3.9153 3.9153 3.9153
angles: 90.00 90.00 90.00
With the nearest neighbours (Å) after each atom.
Space group Pm-3m (No. 221)
Asymmetric unit:
V (0.0000, 0.0000, 0.0000) x1  12 C 2.77
Ga (0.5000, 0.5000, 0.5000) x1  6 C 1.96
C (0.0000, 0.5000, 0.5000) x3  2 Ga 1.96

VASP calculation (PBE) on a geometry-optimized VGaWC2 structure.

abc: 4.0066 4.0066 4.9498
angles: 90.00 90.00 90.00
With the nearest neighbours (Å) after each atom.
Space group P4/mmm (No. 123)
Asymmetric unit:
V (0.0000, 0.0000, 0.0000) x1  4 Ga 2.83
Ga (0.5000, 0.5000, 0.0000) x1  2 W 2.47
W (0.5000, 0.5000, 0.5000) x1  4 C 2.00
C (0.0000, 0.5000, 0.5000) x2  2 W 2.00

VASP calculation (PBE) on a geometry-optimized YV2GaC structure.

abc: 5.2604 5.2604 4.2619
angles: 90.00 90.00 90.00
With the nearest neighbours (Å) after each atom.
Space group P4/mmm (No. 123)
Asymmetric unit:
Y (0.0000, 0.0000, 0.0000) x1  2 C 2.13
V (0.0000, 0.5000, 0.0000) x2  2 Y 2.63
Ga (0.5000, 0.5000, 0.5000) x1  8 V 3.39, 4 C 3.72
C (0.0000, 0.0000, 0.5000) x1  2 Y 2.13

VASP calculation (PBE) on a geometry-optimized Y2VGaC structure.

abc: 4.9329 4.9329 4.0195
angles: 90.00 90.00 90.00
With the nearest neighbours (Å) after each atom.
Space group P4/mmm (No. 123)
Asymmetric unit:
Y (0.0000, 0.5000, 0.0000) x2  2 C 2.47
V (0.0000, 0.0000, 0.5000) x1  2 C 2.01
Ga (0.5000, 0.5000, 0.5000) x1  8 Y 3.18, 4 V 3.49
C (0.0000, 0.0000, 0.0000) x1  2 V 2.01

no.,energy of formation from the pure elements (eV/atom)
1,2.5452
2,1.7064
3,2.1348
4,-0.3884